No. 1
A relaxed structure of BaGe2Te4, computed with PBE.

Unit cell a=4.4787 b=7.3658 c=14.3165 alpha=90.00 beta=90.00 gamma=107.70
Closest atoms and distances in Å follow each position.
Fractional coordinates of all 14 atoms:
Te 0.7711 0.5422 0.1093  3 Ge 2.72-3.05
Te 0.7711 0.5422 0.3907  3 Ge 2.72-3.05
Te 0.5000 0.0000 0.5000  4 Ge 3.03
Ge 0.1339 0.2678 0.0565  6 Te 2.72-3.05
Te 0.5000 0.0000 0.0000  4 Ge 3.03
Te 0.1006 0.2011 0.2500  2 Ge 2.81
Ge 0.8661 0.7322 0.5565  6 Te 2.72-3.05
Te 0.8994 0.7989 0.7500  2 Ge 2.81
Te 0.2289 0.4578 0.6093  3 Ge 2.72-3.05
Te 0.2289 0.4578 0.8907  3 Ge 2.72-3.05
Ge 0.1339 0.2678 0.4435  6 Te 2.72-3.05
Ge 0.8661 0.7322 0.9435  6 Te 2.72-3.05
Ba 0.5927 0.1853 0.7500  8 Te 3.52-3.81
Ba 0.4073 0.8147 0.2500  8 Te 3.52-3.81

Computed properties:
E_tot in eV per atom: -3.83
Crystal system: orthorhombic
Uncorrected formation energy in eV/atom: -0.438
Energy above the most stable polymorph in this dataset in eV per atom: 0.055


No. 2
A relaxed structure of LiHgI, computed with PBE.

Unit cell a=4.0328 b=4.0328 c=7.6049 alpha=105.38 beta=105.38 gamma=90.00
Closest atoms and distances in Å follow each position.
Fractional coordinates of all 3 atoms:
Hg 0.5955 0.5955 0.1910  1 Li 2.92
Li 0.3887 0.3887 0.7773  4 I 2.87, 1 Hg 2.92
I 0.8659 0.8659 0.7317  4 Li 2.87

Computed properties:
E_tot in eV per atom: -1.96
Crystal system: tetragonal
Uncorrected formation energy in eV/atom: -0.702
Energy above the most stable polymorph in this dataset in eV per atom: 0.050


The evaluated size of the total moment for the records listed, in turn: 0.00 0.00 μB/cell.